The following is a DFT calculation (PBE) of an optimized crystal structure of La2NdTm2Mg5.

```
La2NdTm2Mg5
1.0
-2.2481 -4.5714 -0.6508
6.0481 -4.0867 7.8141
-7.4734 2.6542 7.1725
La Tm Mg Nd
4 4 10 2
direct
0.0000 0.6759 0.1759
0.0000 0.3241 0.8241
0.0000 0.8241 0.6759
0.0000 0.1759 0.3241
0.0000 0.1193 0.6193
0.0000 0.6193 0.8807
0.0000 0.3807 0.1193
0.0000 0.8807 0.3807
0.5000 0.5736 0.7008
0.5000 0.2008 0.0736
0.5000 0.7008 0.4264
0.5000 0.4264 0.2992
0.5000 0.2992 0.5736
0.5000 0.0000 0.5000
0.5000 0.5000 0.0000
0.5000 0.7992 0.9264
0.5000 0.9264 0.2008
0.5000 0.0736 0.7992
0.0000 0.0000 0.0000
0.0000 0.5000 0.5000
```

Results
Energy relative to the elements ... 0.0040 eV/atom
Space group ... P4/mbm, No. 127



The following is a DFT calculation (PBE) of an optimized crystal structure of HgAsI2O.

```
HgAsI2O
1.0
-1.8998 1.5861 5.3973
-5.2870 -2.4501 -1.1410
1.2452 -3.3494 1.4226
I O As Hg
2 1 1 1
direct
0.0000 0.5000 0.0000
0.5000 0.0000 0.0000
0.0000 0.0000 0.5000
0.0000 0.0000 0.0000
0.5000 0.5000 0.5000
```

Results
ΔE to the lowest computed polymorph ... 0 meV/atom
Space group ... P4/mmm, No. 123
Raw formation energy ... -140 meV/atom



The following is a DFT calculation (PBE) of an optimized crystal structure of PuTh2N5.

```
PuTh2N5
1.0
-4.5543 -0.7969 3.2330
-1.1935 1.4637 -6.2430
1.6938 -7.7339 0.4797
N Th Pu
10 4 2
direct
0.5949 0.6910 0.3998
0.1658 0.0000 0.2500
0.9018 0.2637 0.5311
0.3619 0.2637 0.0311
0.4051 0.3090 0.6002
0.8342 0.0000 0.7500
0.0961 0.6910 0.8998
0.9039 0.3090 0.1002
0.6381 0.7363 0.9689
0.0982 0.7363 0.4689
0.6365 0.3376 0.3299
0.3635 0.6624 0.6701
0.7011 0.3376 0.8299
0.2989 0.6624 0.1701
0.0000 0.0000 0.0000
0.0000 0.0000 0.5000
```

Results
Space group ... C2/c, No. 15
Raw formation energy ... -1263 meV/atom



The following is a DFT calculation (PBE) of an optimized crystal structure of CrIrOs.

```
CrIrOs
1.0
-5.0481 -2.3379 2.1081
-5.3546 -2.5315 -0.5587
0.5541 -2.6305 0.1277
Ir Os Cr
1 1 1
direct
0.3388 0.3388 0.6612
0.6594 0.6594 0.3406
0.0018 0.0018 0.9982
```

Results
ΔE to the lowest computed polymorph ... 141 meV/atom
Energy relative to the elements ... 0.0020 eV/atom
Space group ... I4mm, No. 107



The following is a DFT calculation (PBE) of an optimized crystal structure of LiAcTbPd.

```
LiAcTbPd
1.0
5.2812 0.0000 0.0000
2.6406 4.5737 0.0000
2.6406 1.5246 4.3121
Pd Li Tb Ac
1 1 1 1
direct
0.5000 0.5000 0.5000
0.0000 0.0000 0.0000
0.7500 0.7500 0.7500
0.2500 0.2500 0.2500
```

Results
Energy relative to the elements ... -0.3030 eV/atom
Space group ... F-43m, No. 216



The following is a DFT calculation (PBE) of an optimized crystal structure of Pa2TiS8.

```
Pa2TiS8
1.0
9.8037 0.0000 0.0000
0.0000 6.1435 0.0000
0.0000 -3.0718 5.3205
S Ti Pa
8 1 2
direct
0.3392 0.1645 0.3290
0.3392 0.6710 0.8355
0.6608 0.3290 0.1645
0.6608 0.8355 0.6710
0.8989 0.3333 0.6667
0.6608 0.8355 0.1645
0.1011 0.6667 0.3333
0.3392 0.1645 0.8355
0.5000 0.0000 0.0000
0.1598 0.3333 0.6667
0.8402 0.6667 0.3333
```

Results
Space group ... P-3m1, No. 164
Raw formation energy ... -740 meV/atom



The following is a DFT calculation (PBE) of an optimized crystal structure of ZrTi2Ru2.

```
ZrTi2Ru2
1.0
7.5318 0.0000 0.0000
0.0000 7.5318 0.0000
0.0000 0.0000 2.9109
Ru Ti Zr
4 4 2
direct
0.3435 0.1565 0.5000
0.1565 0.6565 0.5000
0.8435 0.3435 0.5000
0.6565 0.8435 0.5000
0.3608 0.8608 0.0000
0.8608 0.6392 0.0000
0.1392 0.3608 0.0000
0.6392 0.1392 0.0000
0.5000 0.5000 0.0000
0.0000 0.0000 0.0000
```

Results
ΔE to the lowest computed polymorph ... 39 meV/atom
Energy relative to the elements ... -0.3067 eV/atom
Space group ... P4/mbm, No. 127



The following is a DFT calculation (PBE) of an optimized crystal structure of PmTh2Hg.

```
PmTh2Hg
1.0
5.0462 0.0000 0.0000
0.0000 4.8520 0.0000
0.0000 0.0000 4.8520
Hg Pm Th
1 1 2
direct
0.5000 0.0000 0.0000
0.5000 0.5000 0.5000
0.0000 0.0000 0.5000
0.0000 0.5000 0.0000
```

Results
ΔE to the lowest computed polymorph ... 0 meV/atom
Energy relative to the elements ... -0.0757 eV/atom
Space group ... P4/mmm, No. 123



no.,total moment (Bohr magnetons per cell),calculated volume (A^3/atom)
1,0.0,29.36
2,0.0,27.12
3,2.0,15.41
4,0.0,13.61
5,0.0,26.04
6,0.0,29.13
7,0.0,16.51
8,0.0,29.70